# Y2MgSe4 | the Alexandria database | PBE | relaxed
# Fermi-level density of states: 0.0 states/eV/f.u.
# energy above the most stable polymorph in this dataset: 189.3 meV/atom
# crystal system: triclinic
data_Y2MgSe4
_symmetry_space_group_name_H-M 'P 1'
_symmetry_Int_Tables_number 1
_symmetry_space_group_name_Hall 'P 1'
_cell_length_a 7.4887
_cell_length_b 8.6688
_cell_length_c 13.8277
_cell_angle_alpha 98.71
_cell_angle_beta 95.26
_cell_angle_gamma 90.14
loop_
_atom_site_label
_atom_site_type_symbol
_atom_site_fract_x
_atom_site_fract_y
_atom_site_fract_z
Se1 Se 0.1673 0.7797 0.6253
Se2 Se 0.0919 0.6442 0.1048
Se3 Se 0.8922 0.8430 0.8946
Se4 Se 0.6053 0.8966 0.1056
Se5 Se 0.6939 0.5454 0.6276
Se6 Se 0.1921 0.2816 0.6206
Se7 Se 0.6965 0.0202 0.6264
Se8 Se 0.5958 0.4053 0.1008
Se9 Se 0.4042 0.5947 0.8992
Se10 Se 0.3035 0.9798 0.3736
Se11 Se 0.3061 0.4546 0.3724
Se12 Se 0.9081 0.3558 0.8952
Se13 Se 0.8327 0.2203 0.3747
Se14 Se 0.1078 0.1570 0.1054
Se15 Se 0.3947 0.1034 0.8944
Se16 Se 0.8079 0.7184 0.3794
Mg1 Mg 0.8661 0.8021 0.7068
Mg2 Mg 0.2489 0.3799 0.0044
Mg3 Mg 0.7511 0.6201 0.9956
Mg4 Mg 0.1339 0.1979 0.2932
Y1 Y 0.6324 0.4441 0.2994
Y2 Y 0.1350 0.6995 0.3035
Y3 Y 0.3667 0.0422 0.6952
Y4 Y 0.2440 0.8727 0.0008
Y5 Y 0.7560 0.1273 0.9992
Y6 Y 0.6333 0.9578 0.3048
Y7 Y 0.8650 0.3005 0.6965
Y8 Y 0.3676 0.5559 0.7006

# Y2MgSe | the Alexandria database | PBE | relaxed
# Fermi-level density of states: 2.3 states/eV/f.u.
# energy above the most stable polymorph in this dataset: 337.2 meV/atom
# crystal system: tetragonal
data_Y2MgSe
_symmetry_space_group_name_H-M 'P 1'
_symmetry_Int_Tables_number 1
_symmetry_space_group_name_Hall 'P 1'
_cell_length_a 8.2059
_cell_length_b 8.2059
_cell_length_c 6.6999
_cell_angle_alpha 52.24
_cell_angle_beta 52.24
_cell_angle_gamma 90.00
loop_
_atom_site_label
_atom_site_type_symbol
_atom_site_fract_x
_atom_site_fract_y
_atom_site_fract_z
Y1 Y 0.0847 0.6250 0.2500
Y2 Y 0.6653 0.1250 0.2500
Y3 Y 0.3750 0.3347 0.7500
Y4 Y 0.8750 0.9153 0.7500
Mg1 Mg 0.2500 0.7500 0.5000
Mg2 Mg 0.5000 0.5000 0.0000
Se1 Se 0.7500 0.2500 0.5000
Se2 Se 0.0000 0.0000 0.0000

# YMg2Se4 | the Alexandria database | PBE | relaxed
# Fermi-level density of states: 3.5 states/eV/f.u.
# crystal system: orthorhombic
data_YMg2Se4
_symmetry_space_group_name_H-M 'P 1'
_symmetry_Int_Tables_number 1
_symmetry_space_group_name_Hall 'P 1'
_cell_length_a 3.8513
_cell_length_b 6.6502
_cell_length_c 13.3157
_cell_angle_alpha 90.00
_cell_angle_beta 90.00
_cell_angle_gamma 106.83
loop_
_atom_site_label
_atom_site_type_symbol
_atom_site_fract_x
_atom_site_fract_y
_atom_site_fract_z
Se1 Se 0.5000 0.0000 0.5000
Se2 Se 0.5000 0.0000 0.0000
Se3 Se 0.0495 0.0990 0.2500
Se4 Se 0.7823 0.5646 0.3831
Se5 Se 0.9505 0.9010 0.7500
Se6 Se 0.2177 0.4354 0.8831
Se7 Se 0.2177 0.4354 0.6169
Se8 Se 0.7823 0.5646 0.1169
Y1 Y 0.6161 0.2323 0.7500
Y2 Y 0.3839 0.7677 0.2500
Mg1 Mg 0.8668 0.7336 0.5687
Mg2 Mg 0.1332 0.2664 0.0687
Mg3 Mg 0.8668 0.7336 0.9313
Mg4 Mg 0.1332 0.2664 0.4313

# YMgSe2 | the Alexandria database | PBE | relaxed
# Fermi-level density of states: 1.8 states/eV/f.u.
# crystal system: tetragonal
data_YMgSe2
_symmetry_space_group_name_H-M 'P 1'
_symmetry_Int_Tables_number 1
_symmetry_space_group_name_Hall 'P 1'
_cell_length_a 3.5547
_cell_length_b 3.5547
_cell_length_c 6.9584
_cell_angle_alpha 90.00
_cell_angle_beta 90.00
_cell_angle_gamma 90.00
loop_
_atom_site_label
_atom_site_type_symbol
_atom_site_fract_x
_atom_site_fract_y
_atom_site_fract_z
Mg1 Mg 0.5000 0.5000 0.7500
Y1 Y 0.5000 0.5000 0.2500
Se1 Se 0.0000 0.0000 0.0038
Se2 Se 0.0000 0.0000 0.4962

# Y3MgSe | the Alexandria database | PBE | relaxed
# Fermi-level density of states: 3.6 states/eV/f.u.
# energy above the most stable polymorph in this dataset: 0.0 meV/atom
# crystal system: cubic
data_Y3MgSe
_symmetry_space_group_name_H-M 'P 1'
_symmetry_Int_Tables_number 1
_symmetry_space_group_name_Hall 'P 1'
_cell_length_a 5.3933
_cell_length_b 5.3933
_cell_length_c 5.3933
_cell_angle_alpha 90.00
_cell_angle_beta 90.00
_cell_angle_gamma 90.00
loop_
_atom_site_label
_atom_site_type_symbol
_atom_site_fract_x
_atom_site_fract_y
_atom_site_fract_z
Y1 Y 0.0000 0.5000 0.0000
Y2 Y 0.0000 0.0000 0.5000
Y3 Y 0.5000 0.0000 0.0000
Mg1 Mg 0.5000 0.5000 0.5000
Se1 Se 0.0000 0.0000 0.0000

# Y2MgSe2 | the Alexandria database | PBE | relaxed
# Fermi-level density of states: 3.1 states/eV/f.u.
# crystal system: tetragonal
data_Y2MgSe2
_symmetry_space_group_name_H-M 'P 1'
_symmetry_Int_Tables_number 1
_symmetry_space_group_name_Hall 'P 1'
_cell_length_a 7.9646
_cell_length_b 7.9646
_cell_length_c 3.7052
_cell_angle_alpha 90.00
_cell_angle_beta 90.00
_cell_angle_gamma 90.00
loop_
_atom_site_label
_atom_site_type_symbol
_atom_site_fract_x
_atom_site_fract_y
_atom_site_fract_z
Y1 Y 0.6556 0.8444 0.5000
Y2 Y 0.8444 0.3444 0.5000
Y3 Y 0.3444 0.1556 0.5000
Y4 Y 0.1556 0.6556 0.5000
Mg1 Mg 0.5000 0.5000 0.0000
Mg2 Mg 0.0000 0.0000 0.0000
Se1 Se 0.6433 0.1433 0.0000
Se2 Se 0.1433 0.3567 0.0000
Se3 Se 0.3567 0.8567 0.0000
Se4 Se 0.8567 0.6433 0.0000

# Y2MgSe | the Alexandria database | PBE | relaxed
# Fermi-level density of states: 5.3 states/eV/f.u.
# energy above the most stable polymorph in this dataset: 853.2 meV/atom
# crystal system: cubic
data_Y2MgSe
_symmetry_space_group_name_H-M 'P 1'
_symmetry_Int_Tables_number 1
_symmetry_space_group_name_Hall 'P 1'
_cell_length_a 5.2594
_cell_length_b 5.2594
_cell_length_c 5.2594
_cell_angle_alpha 60.00
_cell_angle_beta 60.00
_cell_angle_gamma 60.00
loop_
_atom_site_label
_atom_site_type_symbol
_atom_site_fract_x
_atom_site_fract_y
_atom_site_fract_z
Se1 Se 0.7500 0.7500 0.7500
Mg1 Mg 0.5000 0.5000 0.5000
Y1 Y 0.0000 0.0000 0.0000
Y2 Y 0.2500 0.2500 0.2500

# Y2MgSe | the Alexandria database | PBE | relaxed
# Fermi-level density of states: 3.4 states/eV/f.u.
# energy above the most stable polymorph in this dataset: 330.9 meV/atom
# crystal system: tetragonal
data_Y2MgSe
_symmetry_space_group_name_H-M 'P 1'
_symmetry_Int_Tables_number 1
_symmetry_space_group_name_Hall 'P 1'
_cell_length_a 6.3520
_cell_length_b 6.3520
_cell_length_c 6.3520
_cell_angle_alpha 140.43
_cell_angle_beta 140.43
_cell_angle_gamma 57.21
loop_
_atom_site_label
_atom_site_type_symbol
_atom_site_fract_x
_atom_site_fract_y
_atom_site_fract_z
Mg1 Mg 0.5000 0.5000 0.0000
Y1 Y 0.2500 0.7500 0.5000
Y2 Y 0.0000 0.0000 0.0000
Se1 Se 0.7500 0.2500 0.5000

# YMgSe2 | the Alexandria database | PBE | relaxed
# Fermi-level density of states: 1.9 states/eV/f.u.
# crystal system: trigonal
data_YMgSe2
_symmetry_space_group_name_H-M 'P 1'
_symmetry_Int_Tables_number 1
_symmetry_space_group_name_Hall 'P 1'
_cell_length_a 3.9053
_cell_length_b 3.9053
_cell_length_c 7.2276
_cell_angle_alpha 74.36
_cell_angle_beta 74.36
_cell_angle_gamma 59.99
loop_
_atom_site_label
_atom_site_type_symbol
_atom_site_fract_x
_atom_site_fract_y
_atom_site_fract_z
Mg1 Mg 0.7500 0.7500 0.7500
Se1 Se 0.0063 0.0063 0.9801
Se2 Se 0.4937 0.4937 0.5199
Y1 Y 0.2500 0.2500 0.2500

# YMgSe2 | the Alexandria database | PBE | relaxed
# Fermi-level density of states: 1.8 states/eV/f.u.
# crystal system: monoclinic
data_YMgSe2
_symmetry_space_group_name_H-M 'P 1'
_symmetry_Int_Tables_number 1
_symmetry_space_group_name_Hall 'P 1'
_cell_length_a 3.6194
_cell_length_b 3.7059
_cell_length_c 7.1110
_cell_angle_alpha 83.68
_cell_angle_beta 90.00
_cell_angle_gamma 90.00
loop_
_atom_site_label
_atom_site_type_symbol
_atom_site_fract_x
_atom_site_fract_y
_atom_site_fract_z
Y1 Y 0.5000 0.2500 0.2500
Se1 Se 0.0000 0.7067 0.4795
Se2 Se 0.0000 0.7933 0.0205
Mg1 Mg 0.5000 0.7500 0.7500

# Y2MgSe4 | the Alexandria database | PBE | relaxed
# energy above the most stable polymorph in this dataset: 59.3 meV/atom
# crystal system: orthorhombic
data_Y2MgSe4
_symmetry_space_group_name_H-M 'P 1'
_symmetry_Int_Tables_number 1
_symmetry_space_group_name_Hall 'P 1'
_cell_length_a 4.0271
_cell_length_b 13.2027
_cell_length_c 14.1368
_cell_angle_alpha 90.00
_cell_angle_beta 90.00
_cell_angle_gamma 90.00
loop_
_atom_site_label
_atom_site_type_symbol
_atom_site_fract_x
_atom_site_fract_y
_atom_site_fract_z
Y1 Y 0.2500 0.1406 0.7020
Y2 Y 0.2500 0.6406 0.7980
Y3 Y 0.7500 0.8594 0.2980
Y4 Y 0.2500 0.6162 0.4258
Y5 Y 0.7500 0.3838 0.5742
Y6 Y 0.7500 0.8838 0.9258
Y7 Y 0.7500 0.3594 0.2020
Y8 Y 0.2500 0.1162 0.0742
Se1 Se 0.2500 0.5290 0.6180
Se2 Se 0.7500 0.7762 0.7520
Se3 Se 0.2500 0.4939 0.1180
Se4 Se 0.7500 0.4710 0.3820
Se5 Se 0.2500 0.2387 0.5134
Se6 Se 0.2500 0.2238 0.2480
Se7 Se 0.2500 0.0290 0.8820
Se8 Se 0.7500 0.2613 0.0134
Se9 Se 0.7500 0.9710 0.1180
Se10 Se 0.2500 0.7238 0.2520
Se11 Se 0.2500 0.9939 0.3820
Se12 Se 0.7500 0.0061 0.6180
Se13 Se 0.2500 0.7387 0.9866
Se14 Se 0.7500 0.2762 0.7480
Se15 Se 0.7500 0.5061 0.8820
Se16 Se 0.7500 0.7613 0.4866
Mg1 Mg 0.7500 0.1100 0.4574
Mg2 Mg 0.7500 0.6100 0.0426
Mg3 Mg 0.2500 0.8900 0.5426
Mg4 Mg 0.2500 0.3900 0.9574

# Y2MgSe4 | the Alexandria database | PBE | relaxed
# energy above the most stable polymorph in this dataset: 0.0 meV/atom
# crystal system: cubic
data_Y2MgSe4
_symmetry_space_group_name_H-M 'P 1'
_symmetry_Int_Tables_number 1
_symmetry_space_group_name_Hall 'P 1'
_cell_length_a 8.2742
_cell_length_b 8.2742
_cell_length_c 8.2742
_cell_angle_alpha 60.00
_cell_angle_beta 60.00
_cell_angle_gamma 60.00
loop_
_atom_site_label
_atom_site_type_symbol
_atom_site_fract_x
_atom_site_fract_y
_atom_site_fract_z
Se1 Se 0.1295 0.6115 0.1295
Se2 Se 0.6205 0.6205 0.6205
Se3 Se 0.6205 0.1385 0.6205
Se4 Se 0.1295 0.1295 0.6115
Se5 Se 0.6115 0.1295 0.1295
Se6 Se 0.1295 0.1295 0.1295
Se7 Se 0.1385 0.6205 0.6205
Se8 Se 0.6205 0.6205 0.1385
Y1 Y 0.3750 0.3750 0.8750
Y2 Y 0.3750 0.8750 0.3750
Y3 Y 0.8750 0.3750 0.3750
Y4 Y 0.3750 0.3750 0.3750
Mg1 Mg 0.0000 0.0000 0.0000
Mg2 Mg 0.7500 0.7500 0.7500

We obtain E_form (uncorrected) values of -1.521 -0.523 -1.285 -1.192 -0.519 -1.170 -0.007 -0.529 -1.433 -1.272 -1.651 -1.710 eV per atom for the records listed above, in that order.